[1]
# LiScSb2

A relaxed structure of LiScSb2 (PBE, Alexandria).

Structure (POSCAR):
```
LiScSb2
1.0
1.8289 1.0559 8.3551
-1.8289 1.0559 8.3551
0.0000 -2.1118 8.3551
Li Sc Sb
1 1 2
Direct
0.0000 0.0000 0.0000 Li
0.5000 0.5000 0.5000 Sc
0.2501 0.2501 0.2501 Sb
0.7499 0.7499 0.7499 Sb
```

- uncorrected formation energy (eV per atom) = -0.49
- distance to the lowest polymorph of the same formula (eV per formula unit) = 0.55
- electronic total energy (eV per cell) = -18.460
- space group = R-3m, No. 166
- calculated density (g/cm³) = 5.07



[2]
# MnHN

A relaxed structure of MnHN (PBE, Alexandria).

Structure (POSCAR):
```
MnHN
1.0
3.0700 0.0000 0.0000
-1.5350 2.6587 0.0000
0.0000 0.0000 3.3439
Mn H N
1 1 1
Direct
0.0000 0.0000 0.0000 Mn
0.0000 0.0000 0.5000 H
0.6667 0.3333 0.0000 N
```

- distance to the lowest polymorph of the same formula (eV per formula unit) = 0.06
- electronic total energy (eV per cell) = -20.742
- space group = P-6m2, No. 187
- calculated density (g/cm³) = 4.26



[3]
# RbNbCd

A relaxed structure of RbNbCd (PBE, Alexandria).

Structure (POSCAR):
```
RbNbCd
1.0
12.0920 0.0000 0.0000
0.0000 3.2822 0.0000
0.0000 0.0000 10.3342
Rb Nb Cd
4 4 4
Direct
0.1731 0.2500 0.0883 Rb
0.3269 0.7500 0.5883 Rb
0.6731 0.2500 0.4117 Rb
0.8269 0.7500 0.9117 Rb
0.0507 0.2500 0.4292 Nb
0.4493 0.7500 0.9292 Nb
0.5507 0.2500 0.0708 Nb
0.9493 0.7500 0.5708 Nb
0.0849 0.2500 0.7480 Cd
0.4151 0.7500 0.2480 Cd
0.5849 0.2500 0.7520 Cd
0.9151 0.7500 0.2520 Cd
```

- energy of formation (eV/f.u.) = 1.8
- distance to the lowest polymorph of the same formula (eV per formula unit) = 0.90
- electronic total energy (eV per cell) = -40.519
- space group = Pnma, No. 62
- calculated density (g/cm³) = 4.71